# 1
VASP calculation (GGA-PBE) on a relaxed structure of AgHO2.

Raw total energy = -3.6434 eV/atom
Fermi-level density of states = 0.058 states/eV/atom
Symmetry = I-42d (122)

extended XYZ file:
```
8
Lattice="-2.305 2.305 3.457 2.305 -2.305 3.457 2.305 2.305 -3.457" Properties=species:S:1:pos:R:3 pbc="T T T"
Ag 0.000 0.000 0.000
Ag 0.000 2.305 1.729
H 2.305 0.000 1.729
H 0.000 0.000 3.457
O 1.152 -0.693 2.593
O 1.612 1.152 0.864
O 1.152 2.998 -0.864
O 0.693 1.152 4.322
```

# 2
VASP calculation (GGA-PBE) on a relaxed structure of Ag2H2O.

Offset from the most stable computed form = 0 meV/atom
Fermi-level density of states = 0.249 states/eV/atom
Symmetry = P4/mmm (123)

extended XYZ file:
```
5
Lattice="4.368 0.000 0.000 0.000 4.368 0.000 0.000 0.000 3.508" Properties=species:S:1:pos:R:3 pbc="T T T"
Ag 0.000 2.184 0.000
Ag 2.184 0.000 0.000
H 0.000 2.184 1.754
H 2.184 0.000 1.754
O 0.000 0.000 0.000
```